No. 1
IrPdOF2 after structural relaxation, computed with PBE.

```
5
Lattice="-3.9384 1.3533 -0.6545 -1.3391 -3.9924 -0.1969 -0.6448 0.0226 3.9269" Properties=species:S:1:pos:R:3 pbc="T T T"
Ir -2.9612 -1.3082 1.5377
O -0.3224 0.0113 1.9634
Pd 0.0000 0.0000 0.0000
F -0.6695 -1.9962 -0.0984
F -1.9692 0.6766 -0.3273
```

Calculated values
* uncorrected formation energy: 1.93 eV/f.u.
* uncorrected energy: -20.827 eV/cell

=====

No. 2
MnNiIr2 after structural relaxation, computed with PBE.

```
4
Lattice="-1.3618 -8.3449 -1.5172 0.9042 -8.5425 -0.0447 -1.5025 -8.3740 1.1887" Properties=species:S:1:pos:R:3 pbc="T T T"
Ir -0.0061 -0.0781 -0.0012
Ir -0.4843 -6.2414 -0.0922
Mn -0.9741 -12.5536 -0.1854
Ni -1.4757 -19.0192 -0.2809
```

Calculated values
* ΔH_f (0 K): 56 meV/atom
* uncorrected energy: -32.451 eV/cell

=====

Number 1: D(E_F) 4.04 states/eV/f.u.. Number 2: D(E_F) 5.15 states/eV/f.u..